# 1
Material: SrMoAs2
Method: DFT, PBE-GGA
State: relaxed

Cell: 6.265 7.493 3.581 Å, 90.00 90.00 90.00°
Element x y z (fractional)
Sr 0.000 0.000 0.000
Sr 0.500 0.500 0.000
Mo 0.000 0.500 0.000
Mo 0.500 0.000 0.000
As 0.250 0.250 0.500
As 0.250 0.750 0.500
As 0.750 0.250 0.500
As 0.750 0.750 0.500

Results
- Energy relative to the lowest polymorph listed for this composition: 599 meV/atom
- Total energy: -5.2826 eV/atom
- Spin magnetization: 1.722 μB per formula unit

# 2
Material: SrMoAs2
Method: DFT, PBE-GGA
State: relaxed

Cell: 3.394 3.646 14.388 Å, 90.00 90.00 90.00°
Element x y z (fractional)
Sr 0.000 0.000 0.000
Sr 0.500 0.500 0.500
Mo 0.000 0.500 0.253
Mo 0.500 0.000 0.753
As 0.000 0.000 0.626
As 0.000 0.500 0.823
As 0.500 0.000 0.323
As 0.500 0.500 0.126

Results
- Energy relative to the lowest polymorph listed for this composition: 77 meV/atom
- Total energy: -5.8040 eV/atom
- Spin magnetization: 0.000 μB per formula unit

# 3
Material: SrMo2As
Method: DFT, PBE-GGA
State: relaxed

Cell: 4.225 4.850 4.512 Å, 90.00 97.77 90.00°
Element x y z (fractional)
Sr 0.000 0.000 0.000
Mo 0.325 0.500 0.663
Mo 0.675 0.500 0.337
As 0.500 0.000 0.500

Results
- Total energy: -6.5441 eV/atom
- Spin magnetization: 0.000 μB per formula unit

# 4
Material: SrMo2As
Method: DFT, PBE-GGA
State: relaxed

Cell: 3.394 4.097 6.630 Å, 90.00 104.44 90.00°
Element x y z (fractional)
Sr 0.000 0.000 0.000
Mo 0.267 0.500 0.548
Mo 0.744 0.000 0.501
As 0.620 0.500 0.247

Results
- Total energy: -6.9047 eV/atom
- Spin magnetization: 0.000 μB per formula unit

# 5
Material: SrMo2As
Method: DFT, PBE-GGA
State: relaxed

Cell: 4.000 4.000 10.155 Å, 90.00 90.00 90.00°
Element x y z (fractional)
Sr 0.000 0.000 0.000
Sr 0.500 0.500 0.500
Mo 0.000 0.500 0.250
Mo 0.000 0.500 0.750
Mo 0.500 0.000 0.250
Mo 0.500 0.000 0.750
As 0.000 0.000 0.500
As 0.500 0.500 0.000

Results
- Total energy: -6.2269 eV/atom
- Spin magnetization: 0.001 μB per formula unit

# 6
Material: SrMoAs2
Method: DFT, PBE-GGA
State: relaxed

Cell: 3.808 3.808 21.228 Å, 90.00 90.00 120.00°
Element x y z (fractional)
Sr 0.000 0.000 0.000
Sr 0.333 0.667 0.667
Sr 0.667 0.333 0.333
Mo 0.000 0.000 0.500
Mo 0.333 0.667 0.167
Mo 0.667 0.333 0.833
As 0.000 0.000 0.234
As 0.000 0.000 0.766
As 0.333 0.667 0.433
As 0.333 0.667 0.900
As 0.667 0.333 0.100
As 0.667 0.333 0.567

Results
- Energy relative to the lowest polymorph listed for this composition: 0 meV/atom
- Total energy: -5.8813 eV/atom
- Spin magnetization: 0.001 μB per formula unit

# 7
Material: SrMo2As
Method: DFT, PBE-GGA
State: relaxed

Cell: 4.028 4.028 4.901 Å, 90.00 90.00 90.00°
Element x y z (fractional)
Sr 0.000 0.000 0.000
Mo 0.000 0.500 0.500
Mo 0.500 0.000 0.500
As 0.500 0.500 0.000

Results
- Total energy: -6.2717 eV/atom
- Spin magnetization: 0.000 μB per formula unit

# 8
Material: SrYMo2As
Method: DFT, PBE-GGA
State: relaxed

Cell: 4.892 4.892 5.966 Å, 90.00 90.00 90.00°
Element x y z (fractional)
Sr 0.000 0.000 0.000
Y 0.000 0.000 0.500
Mo 0.000 0.500 0.500
Mo 0.500 0.000 0.500
As 0.500 0.500 0.000

Results
- Total energy: -5.0073 eV/atom
- Spin magnetization: 2.119 μB per formula unit

# 9
Material: TaMoAs
Method: DFT, PBE-GGA
State: relaxed

Cell: 6.132 6.132 6.132 Å, 90.00 90.00 90.00°
Element x y z (fractional)
Ta 0.000 0.000 0.000
Ta 0.000 0.500 0.500
Ta 0.500 0.000 0.500
Ta 0.500 0.500 0.000
Mo 0.250 0.250 0.750
Mo 0.250 0.750 0.250
Mo 0.750 0.250 0.250
Mo 0.750 0.750 0.750
As 0.000 0.000 0.500
As 0.000 0.500 0.000
As 0.500 0.000 0.000
As 0.500 0.500 0.500

Results
- Total energy: -8.7185 eV/atom
- Spin magnetization: 0.000 μB per formula unit

# 10
Material: TaMoAs2
Method: DFT, PBE-GGA
State: relaxed

Cell: 3.126 3.126 23.708 Å, 90.00 90.00 120.00°
Element x y z (fractional)
Ta 0.000 0.000 0.000
Ta 0.333 0.667 0.667
Ta 0.667 0.333 0.333
Mo 0.000 0.000 0.500
Mo 0.333 0.667 0.167
Mo 0.667 0.333 0.833
As 0.000 0.000 0.247
As 0.000 0.000 0.753
As 0.333 0.667 0.420
As 0.333 0.667 0.914
As 0.667 0.333 0.086
As 0.667 0.333 0.580

Results
- Total energy: -7.9221 eV/atom
- Spin magnetization: 0.000 μB per formula unit

# 11
Material: Ta2MoAs2
Method: DFT, PBE-GGA
State: relaxed

Cell: 6.961 6.961 3.430 Å, 90.00 90.00 90.00°
Element x y z (fractional)
Ta 0.148 0.352 0.000
Ta 0.352 0.852 0.000
Ta 0.648 0.148 0.000
Ta 0.852 0.648 0.000
Mo 0.000 0.000 0.500
Mo 0.500 0.500 0.500
As 0.150 0.650 0.500
As 0.350 0.150 0.500
As 0.650 0.850 0.500
As 0.850 0.350 0.500

Results
- Total energy: -8.8854 eV/atom
- Spin magnetization: 0.000 μB per formula unit

# 12
Material: TaMoAs2
Method: DFT, PBE-GGA
State: relaxed

Cell: 6.448 6.448 6.448 Å, 90.00 90.00 90.00°
Element x y z (fractional)
Ta 0.000 0.000 0.000
Ta 0.000 0.500 0.500
Ta 0.500 0.000 0.500
Ta 0.500 0.500 0.000
Mo 0.250 0.250 0.250
Mo 0.250 0.750 0.750
Mo 0.750 0.250 0.750
Mo 0.750 0.750 0.250
As 0.000 0.000 0.500
As 0.000 0.500 0.000
As 0.250 0.250 0.750
As 0.250 0.750 0.250
As 0.500 0.000 0.000
As 0.500 0.500 0.500
As 0.750 0.250 0.250
As 0.750 0.750 0.750

Results
- Total energy: -7.7693 eV/atom
- Spin magnetization: 0.000 μB per formula unit

# 13
Material: TaMo3As
Method: DFT, PBE-GGA
State: relaxed

Cell: 4.563 4.563 4.563 Å, 90.00 90.00 90.00°
Element x y z (fractional)
Ta 0.000 0.000 0.000
Mo 0.000 0.500 0.500
Mo 0.500 0.000 0.500
Mo 0.500 0.500 0.000
As 0.500 0.500 0.500

Results
- Total energy: -8.7511 eV/atom
- Spin magnetization: 0.000 μB per formula unit

# 14
Material: TaMo4As
Method: DFT, PBE-GGA
State: relaxed

Cell: 5.245 5.245 5.245 Å, 60.00 60.00 60.00°
Element x y z (fractional)
Ta 0.000 0.000 0.000
Mo 0.375 0.375 0.375
Mo 0.375 0.375 0.874
Mo 0.375 0.874 0.375
Mo 0.874 0.375 0.375
As 0.750 0.750 0.750

Results
- Total energy: -9.6504 eV/atom
- Spin magnetization: 0.000 μB per formula unit

# 15
Material: TaMoAs2
Method: DFT, PBE-GGA
State: relaxed

Cell: 6.351 6.351 6.351 Å, 90.00 90.00 90.00°
Element x y z (fractional)
Ta 0.000 0.000 0.000
Ta 0.000 0.500 0.500
Ta 0.500 0.000 0.500
Ta 0.500 0.500 0.000
Mo 0.000 0.000 0.500
Mo 0.000 0.500 0.000
Mo 0.500 0.000 0.000
Mo 0.500 0.500 0.500
As 0.250 0.250 0.250
As 0.250 0.250 0.750
As 0.250 0.750 0.250
As 0.250 0.750 0.750
As 0.750 0.250 0.250
As 0.750 0.250 0.750
As 0.750 0.750 0.250
As 0.750 0.750 0.750

Results
- Total energy: -8.1066 eV/atom
- Spin magnetization: 0.750 μB per formula unit

# 16
Material: TaMoAs
Method: DFT, PBE-GGA
State: relaxed

Cell: 3.393 4.833 12.291 Å, 90.00 90.00 90.00°
Element x y z (fractional)
Ta 0.000 0.000 0.000
Ta 0.000 0.500 0.500
Ta 0.500 0.000 0.500
Ta 0.500 0.500 0.000
Mo 0.000 0.000 0.326
Mo 0.000 0.500 0.826
Mo 0.500 0.000 0.826
Mo 0.500 0.500 0.326
As 0.000 0.000 0.665
As 0.000 0.500 0.165
As 0.500 0.000 0.165
As 0.500 0.500 0.665

Results
- Total energy: -9.0808 eV/atom
- Spin magnetization: 0.000 μB per formula unit

# 17
Material: TaMoAs
Method: DFT, PBE-GGA
State: relaxed

Cell: 4.510 4.510 2.856 Å, 90.00 90.00 120.00°
Element x y z (fractional)
Ta 0.000 0.000 0.000
Mo 0.333 0.667 0.390
As 0.667 0.333 0.355

Results
- Total energy: -9.1008 eV/atom
- Spin magnetization: 0.000 μB per formula unit

# 18
Material: TaMoAs2
Method: DFT, PBE-GGA
State: relaxed

Cell: 4.487 4.487 3.177 Å, 90.00 90.00 90.00°
Element x y z (fractional)
Ta 0.000 0.000 0.000
Mo 0.500 0.500 0.000
As 0.000 0.500 0.500
As 0.500 0.000 0.500

Results
- Total energy: -8.1293 eV/atom
- Spin magnetization: 0.001 μB per formula unit

# 19
Material: Ta4MoAs
Method: DFT, PBE-GGA
State: relaxed

Cell: 5.393 5.393 5.393 Å, 60.00 60.00 60.00°
Element x y z (fractional)
Ta 0.125 0.125 0.125
Ta 0.125 0.125 0.624
Ta 0.125 0.624 0.125
Ta 0.624 0.125 0.125
Mo 0.500 0.500 0.500
As 0.750 0.750 0.750

Results
- Total energy: -9.9603 eV/atom
- Spin magnetization: 0.000 μB per formula unit

# 20
Material: TaMoAs2
Method: DFT, PBE-GGA
State: relaxed

Cell: 3.432 4.662 9.878 Å, 90.00 90.00 90.00°
Element x y z (fractional)
Ta 0.000 0.000 0.000
Ta 0.500 0.500 0.000
Mo 0.000 0.500 0.775
Mo 0.500 0.000 0.775
As 0.000 0.000 0.580
As 0.000 0.500 0.204
As 0.500 0.000 0.204
As 0.500 0.500 0.580

Results
- Total energy: -8.0664 eV/atom
- Spin magnetization: 0.000 μB per formula unit